Entry 1:
SbW2Au after structural relaxation. Source: Alexandria, functional GGA-PBE.

Values from the calculation:
The uncorrected formation energy comes out at 663.6 meV/atom. As for the space group: Immm, No. 71. The value obtained for the density of states at the Fermi level is 0.61 states/eV/atom.

POSCAR file:
```
SbW2Au
1.0
-2.3694 -3.6279 3.3408
-3.3376 -3.6743 -2.3012
5.0983 1.9838 0.0916
Au Sb W
1 1 2
Cartesian
-0.5464 -2.6708 -0.8449 Au
-0.0623 -2.6476 1.9761 Sb
-5.6293 -7.2029 1.0254 W
-2.9312 -3.7505 0.5339 W
```

---

Entry 2:
Sr2FePdN after structural relaxation. Source: Alexandria, functional GGA-PBE.

Values from the calculation:
The uncorrected formation energy comes out at -408.3 meV/atom. As for the space group: P4/mmm, No. 123. The value obtained for the density of states at the Fermi level is 0.91 states/eV/atom.

POSCAR file:
```
Sr2FePdN
1.0
5.4183 0.0000 0.0000
0.0000 5.4183 0.0000
0.0000 0.0000 3.5966
Sr Fe Pd N
2 1 1 1
Cartesian
0.0000 2.7091 0.0000 Sr
2.7091 0.0000 0.0000 Sr
0.0000 0.0000 1.7983 Fe
2.7091 2.7091 1.7983 Pd
0.0000 0.0000 0.0000 N
```

---

Entry 3:
Dy3TlCd2 after structural relaxation. Source: Alexandria, functional GGA-PBE.

Values from the calculation:
As for the space group: Cmmm, No. 65. The value obtained for the density of states at the Fermi level is 1.04 states/eV/atom. The value obtained for the excess energy over the best structure of this formula in the dataset is 0 meV per atom.

POSCAR file:
```
Dy3TlCd2
1.0
3.7413 0.0000 0.0000
0.0000 5.0437 -1.6697
0.0000 -0.0001 8.4522
Dy Tl Cd
3 1 2
Cartesian
1.8707 2.5218 -0.8349 Dy
1.8707 4.1981 4.2285 Dy
1.8707 0.8455 2.5540 Dy
0.0000 0.0000 0.0000 Tl
0.0000 1.6562 5.0028 Cd
0.0000 3.3874 1.7797 Cd
```

---

Entry 4:
Ho2Cu15Pt2 after structural relaxation. Source: Alexandria, functional GGA-PBE.

Values from the calculation:
As for the space group: R-3m, No. 166. The value obtained for the density of states at the Fermi level is 0.48 states/eV/atom. The total energy is -4.56 eV per atom.

POSCAR file:
```
Ho2Cu15Pt2
1.0
6.4949 -0.0417 -0.0371
0.8013 6.4455 -0.0371
0.8013 0.7033 6.4071
Ho Cu Pt
2 15 2
Cartesian
2.7286 2.3948 2.1339 Ho
5.3689 4.7122 4.1988 Ho
3.2475 -0.0208 -0.0186 Cu
0.4006 0.3516 3.2035 Cu
0.4006 3.2227 -0.0186 Cu
0.8013 4.7422 1.8743 Cu
4.8061 1.8825 -0.0371 Cu
2.4901 0.4823 4.4956 Cu
2.4901 4.5212 -0.0371 Cu
4.8061 0.1793 1.8743 Cu
0.8013 2.4065 4.4956 Cu
2.0534 4.6320 4.1274 Cu
4.8592 4.2649 0.9517 Cu
4.8592 1.4352 4.1274 Cu
6.0441 2.4751 2.2054 Cu
3.2383 2.8422 5.3811 Cu
3.2383 5.6719 2.2054 Cu
0.8784 0.7709 0.6869 Pt
7.2191 6.3361 5.6458 Pt
```

---

Entry 5:
Pr3Ga4Rh2 after structural relaxation. Source: Alexandria, functional GGA-PBE.

Values from the calculation:
As for the space group: C2/m, No. 12. The value obtained for the density of states at the Fermi level is 0.79 states/eV/atom. The total energy is -5.28 eV per atom.

POSCAR file:
```
Pr3Ga4Rh2
1.0
-2.0277 3.5251 1.3559
-0.2420 -4.3551 4.1841
7.6761 4.1713 0.6349
Pr Ga Rh
3 4 2
Cartesian
3.4538 3.4913 2.8648 Pr
0.0000 0.0000 0.0000 Pr
1.9526 -0.1501 3.3101 Pr
-1.0227 0.8530 3.0294 Ga
6.4291 2.4882 3.1455 Ga
2.7027 1.9657 5.7078 Ga
2.7037 1.3755 0.4671 Ga
0.7821 2.3344 1.8771 Rh
4.6243 1.0069 4.2978 Rh
```

---

Entry 6:
ScMnTl after structural relaxation. Source: Alexandria, functional GGA-PBE.

Values from the calculation:
As for the space group: P-6m2, No. 187. The value obtained for the density of states at the Fermi level is 0.67 states/eV/atom. The total energy is -5.88 eV per atom.

POSCAR file:
```
ScMnTl
1.0
4.6875 0.0000 0.0000
-2.3438 4.0595 0.0000
0.0000 0.0000 3.2921
Mn Sc Tl
1 1 1
Cartesian
0.0000 0.0000 2.7438 Mn
2.3438 1.3532 1.0967 Sc
0.0000 2.7063 2.7438 Tl
```

---

Entry 7:
CaAg4 after structural relaxation. Source: Alexandria, functional GGA-PBE.

Values from the calculation:
As for the space group: I4/mmm, No. 139. The value obtained for the density of states at the Fermi level is 0.46 states/eV/atom. The total energy is -2.79 eV per atom.

POSCAR file:
```
CaAg4
1.0
7.2081 0.0497 0.0000
4.8298 5.3510 0.0000
-6.0190 -2.7003 2.9052
Ag Ca
4 1
Cartesian
2.4149 2.6755 1.4526 Ag
3.6041 0.0249 1.4526 Ag
7.2542 3.2545 0.0000 Ag
4.7837 2.1462 0.0000 Ag
0.0000 0.0000 0.0000 Ca
```

---

Entry 8:
Pm2PdO after structural relaxation. Source: Alexandria, functional GGA-PBE.

Values from the calculation:
The uncorrected formation energy comes out at -1256.8 meV/atom. As for the space group: P4/mmm, No. 123. The value obtained for the density of states at the Fermi level is 0.65 states/eV/atom. The value obtained for the excess energy over the best structure of this formula in the dataset is 391 meV per atom.

POSCAR file:
```
Pm2PdO
1.0
3.2475 0.0000 0.0000
0.0000 3.2475 0.0000
0.0000 0.0000 7.1356
O Pd Pm
1 1 2
Cartesian
1.6238 1.6238 0.0000 O
1.6238 1.6238 3.5678 Pd
0.0000 0.0000 5.5455 Pm
0.0000 0.0000 1.5901 Pm
```